Compound: ZrSiRu
Source: Alexandria via LeMat-Bulk
Functional: PBEsol
Structure: relaxed

Structure (POSCAR):
```
ZrSiRu
1.0
0.000 2.997 2.997
2.997 0.000 2.997
2.997 2.997 0.000
Zr Si Ru
1 1 1
direct
0.000 0.000 0.000 Zr
0.500 0.500 0.500 Si
0.750 0.750 0.750 Ru
```

## Properties
The crystal system is cubic. Its uncorrected formation energy is -404 meV per atom. The density of states at the Fermi level comes out at 4.254 states/eV/cell. Its total magnetization is 0.0 μB/f.u.

---

Compound: OsRu
Source: Alexandria via LeMat-Bulk
Functional: PBEsol
Structure: relaxed

Structure (POSCAR):
```
OsRu
1.0
4.882 -1.354 0.000
4.882 1.354 0.000
-1.499 0.000 6.174
Os Ru
3 3
direct
0.000 0.000 0.000 Os
0.057 0.057 0.612 Os
0.667 0.667 0.332 Os
0.334 0.334 0.667 Ru
0.389 0.389 0.278 Ru
0.723 0.723 0.944 Ru
```

## Properties
The crystal system is monoclinic. The formation energy comes out at 0.0 eV per formula unit. The density of states at the Fermi level comes out at 4.359 states/eV/cell. Its total magnetization is 0.0 μB/f.u.

---

Compound: KCdAu
Source: Alexandria via LeMat-Bulk
Functional: PBEsol
Structure: relaxed

Structure (POSCAR):
```
KCdAu
1.0
4.765 0.000 0.000
-2.382 4.127 0.000
0.000 0.000 4.374
K Cd Au
1 1 1
direct
0.000 0.000 0.000 K
0.333 0.667 0.500 Cd
0.667 0.333 0.500 Au
```

## Properties
The crystal system is hexagonal. The formation energy comes out at -0.4 eV per formula unit. The density of states at the Fermi level comes out at 0.933 states/eV/cell. Its total magnetization is 0.0 μB/f.u. Its energy above the most stable polymorph in this dataset is 0.0 meV/atom.

---

Compound: CaGdRh2
Source: Alexandria via LeMat-Bulk
Functional: PBEsol
Structure: relaxed

Structure (POSCAR):
```
CaGdRh2
1.0
0.000 3.367 3.367
3.367 0.000 3.367
3.367 3.367 0.000
Ca Gd Rh
1 1 2
direct
0.000 0.000 0.000 Ca
0.500 0.500 0.500 Gd
0.250 0.250 0.250 Rh
0.750 0.750 0.750 Rh
```

## Properties
The crystal system is cubic. The formation energy comes out at -2.1 eV per formula unit. The density of states at the Fermi level comes out at 1.479 states/eV/cell. Its total magnetization is 7.1 μB/f.u.

---

Compound: ZnTc
Source: Alexandria via LeMat-Bulk
Functional: PBEsol
Structure: relaxed

Structure (POSCAR):
```
ZnTc
1.0
4.505 0.000 0.000
0.000 4.402 0.000
0.000 0.000 5.475
Zn Tc
4 4
direct
0.075 0.250 0.128 Zn
0.425 0.750 0.628 Zn
0.575 0.250 0.372 Zn
0.925 0.750 0.872 Zn
0.057 0.250 0.627 Tc
0.443 0.750 0.127 Tc
0.557 0.250 0.873 Tc
0.943 0.750 0.373 Tc
```

## Properties
The crystal system is orthorhombic. The formation energy comes out at 0.1 eV per formula unit. The density of states at the Fermi level comes out at 4.344 states/eV/cell. Its total magnetization is 0.0 μB/f.u. Its energy above the most stable polymorph in this dataset is 105.2 meV/atom.

---

Compound: Rb2CdH
Source: Alexandria via LeMat-Bulk
Functional: PBEsol
Structure: relaxed

Structure (POSCAR):
```
Rb2CdH
1.0
0.000 4.152 4.152
4.152 0.000 4.152
4.152 4.152 0.000
Rb Cd H
2 1 1
direct
0.250 0.250 0.250 Rb
0.750 0.750 0.750 Rb
0.000 0.000 0.000 Cd
0.500 0.500 0.500 H
```

## Properties
The crystal system is cubic. Its uncorrected energy is -1.39 eV/atom. The density of states at the Fermi level comes out at 1.743 states/eV/cell. Its total magnetization is 0.0 μB/f.u.